The following is a PBE calculation of TaAl6Ga after structural relaxation, from Alexandria.

Crystal system ... monoclinic
Volume ... 18.6 A^3/atom
ΔH_f (0 K) ... 0.159 eV/atom

Unit cell a=4.668 b=4.668 c=7.472 alpha=102.21 beta=102.21 gamma=70.91
Fractional positions:
Ta (0.000, 0.000, 0.000)
Al (0.048, 0.536, 0.701)
Al (0.363, 0.363, 0.059)
Al (0.464, 0.952, 0.299)
Al (0.536, 0.048, 0.701)
Al (0.637, 0.637, 0.941)
Al (0.952, 0.464, 0.299)
Ga (0.500, 0.500, 0.500)